Entry from OQMD: crystalline LaGa2CuAu at its relaxed geometry (PBE).

Cell and atoms, written as POSCAR:
```
LaGa2CuAu
1.0
4.392 0.000 0.000
0.000 4.392 0.000
0.000 0.000 10.252
Au Cu Ga La
2 2 4 2
Direct
0.000 0.000 0.000
0.500 0.500 0.000
0.500 0.000 0.381
0.000 0.500 0.619
0.500 0.000 0.147
0.000 0.000 0.500
0.500 0.500 0.500
0.000 0.500 0.853
0.000 0.500 0.257
0.500 0.000 0.743
```

total energy	-4.160	eV per atom